No. 1
First-principles (PBE) data for a geometry-optimized AlMo2Pt structure, as listed in Alexandria via LeMat-Bulk.

The calculation puts the density of states at the Fermi level at 2.41 states/eV/f.u. The spin magnetization is 0.00 μB/cell.

Lattice parameters (Å, degrees): 2.762 4.338 5.218 90.00 96.92 90.00
Space group Pm (No. 6)
Asymmetric unit:
Al  0.000  0.000  0.000 (multiplicity 1)
Mo  0.407  0.000  0.486 (multiplicity 1)
Mo  0.608  0.500  0.237 (multiplicity 1)
Pt  0.977  0.500  0.754 (multiplicity 1)


No. 2
First-principles (PBE) data for a geometry-optimized Al2MoPt structure, as listed in Alexandria via LeMat-Bulk.

The calculation puts the density of states at the Fermi level at 3.13 states/eV/f.u. The spin magnetization is 0.00 μB/cell. For the energy above the most stable polymorph in this dataset, the calculation gives 0.1388 eV per atom.

Lattice parameters (Å, degrees): 3.491 3.875 8.943 90.00 90.00 90.00
Space group Imm2 (No. 44)
Asymmetric unit:
Al  0.000  0.000  0.000 (multiplicity 2)
Al  0.000  0.500  0.242 (multiplicity 2)
Mo  0.000  0.500  0.753 (multiplicity 2)
Pt  0.000  0.000  0.504 (multiplicity 2)


No. 3
First-principles (PBE) data for a geometry-optimized AlMo2Pt structure, as listed in Alexandria via LeMat-Bulk.

The calculation puts the density of states at the Fermi level at 2.56 states/eV/f.u. The spin magnetization is 0.00 μB/cell.

Lattice parameters (Å, degrees): 2.734 2.734 8.238 90.00 90.00 90.00
Space group P4mm (No. 99)
Asymmetric unit:
Al  0.000  0.000  0.000 (multiplicity 1)
Mo  0.000  0.000  0.523 (multiplicity 1)
Mo  0.500  0.500  0.249 (multiplicity 1)
Pt  0.500  0.500  0.773 (multiplicity 1)


No. 4
First-principles (PBE) data for a geometry-optimized AlMo2Pt structure, as listed in Alexandria via LeMat-Bulk.

The calculation puts the density of states at the Fermi level at 2.72 states/eV/f.u. The spin magnetization is 0.00 μB/cell.

Lattice parameters (Å, degrees): 2.748 2.748 8.131 90.00 90.00 90.00
Space group P4/mmm (No. 123)
Asymmetric unit:
Al  0.000  0.000  0.000 (multiplicity 1)
Mo  0.500  0.500  0.246 (multiplicity 2)
Pt  0.000  0.000  0.500 (multiplicity 1)


No. 5
First-principles (PBE) data for a geometry-optimized AlMo2Pt structure, as listed in Alexandria via LeMat-Bulk.

The calculation puts the density of states at the Fermi level at 4.22 states/eV/f.u. The spin magnetization is 1.84 μB/cell.

Lattice parameters (Å, degrees): 6.272 6.272 6.272 90.00 90.00 90.00
Space group F-43m (No. 216)
Asymmetric unit:
Al  0.000  0.000  0.000 (multiplicity 4)
Mo  0.000  0.000  0.500 (multiplicity 4)
Mo  0.250  0.250  0.750 (multiplicity 4)
Pt  0.250  0.250  0.250 (multiplicity 4)


No. 6
First-principles (PBE) data for a geometry-optimized Al2MoPt structure, as listed in Alexandria via LeMat-Bulk.

The calculation puts the density of states at the Fermi level at 3.46 states/eV/f.u. The spin magnetization is 4.51 μB/cell. For the energy above the most stable polymorph in this dataset, the calculation gives 0.5569 eV per atom.

Lattice parameters (Å, degrees): 6.913 6.913 5.605 90.00 90.00 90.00
Space group I-42d (No. 122)
Asymmetric unit:
Al  0.227  0.750  0.125 (multiplicity 8)
Mo  0.000  0.000  0.500 (multiplicity 4)
Pt  0.000  0.000  0.000 (multiplicity 4)


No. 7
First-principles (PBE) data for a geometry-optimized Al2MoPt structure, as listed in Alexandria via LeMat-Bulk.

The calculation puts the density of states at the Fermi level at 2.87 states/eV/f.u. The spin magnetization is 0.00 μB/cell. For the energy above the most stable polymorph in this dataset, the calculation gives 0.1530 eV per atom.

Lattice parameters (Å, degrees): 2.807 4.117 5.382 90.00 90.90 90.00
Space group P2/m (No. 10)
Asymmetric unit:
Al  0.030  0.000  0.239 (multiplicity 2)
Mo  0.500  0.500  0.000 (multiplicity 1)
Pt  0.000  0.500  0.500 (multiplicity 1)


No. 8
First-principles (PBE) data for a geometry-optimized Al2MoPt structure, as listed in Alexandria via LeMat-Bulk.

The calculation puts the density of states at the Fermi level at 2.30 states/eV/f.u. The spin magnetization is 0.00 μB/cell. For the energy above the most stable polymorph in this dataset, the calculation gives 0.3094 eV per atom.

Lattice parameters (Å, degrees): 2.8659 2.8659 26.3387 90.00 90.00 120.00
Space group R3m (No. 160, hexagonal axes)
Asymmetric unit:
Al  0.0000  0.0000  0.0000 (multiplicity 3)
Al  0.0000  0.0000  0.2463 (multiplicity 3)
Mo  0.0000  0.0000  0.4964 (multiplicity 3)
Pt  0.0000  0.0000  0.7443 (multiplicity 3)


No. 9
First-principles (PBE) data for a geometry-optimized AlMo2Pt structure, as listed in Alexandria via LeMat-Bulk.

The calculation puts the density of states at the Fermi level at 2.87 states/eV/f.u. The spin magnetization is 0.00 μB/cell.

Lattice parameters (Å, degrees): 2.8051 2.8051 27.4872 90.00 90.00 120.00
Space group R-3m (No. 166, hexagonal axes)
Asymmetric unit:
Al  0.0000  0.0000  0.0000 (multiplicity 3)
Mo  0.0000  0.0000  0.2503 (multiplicity 6)
Pt  0.0000  0.0000  0.5000 (multiplicity 3)


No. 10
First-principles (PBE) data for a geometry-optimized Al2MoPt2 structure, as listed in Alexandria via LeMat-Bulk.

The calculation puts the density of states at the Fermi level at 3.37 states/eV/f.u. The spin magnetization is 0.00 μB/cell. For the energy above the most stable polymorph in this dataset, the calculation gives 0.0000 eV per atom.

Lattice parameters (Å, degrees): 7.399 7.399 2.757 90.00 90.00 90.00
Space group P4/mbm (No. 127)
Asymmetric unit:
Al  0.144  0.356  0.000 (multiplicity 4)
Mo  0.000  0.000  0.000 (multiplicity 2)
Pt  0.155  0.655  0.500 (multiplicity 4)


No. 11
First-principles (PBE) data for a geometry-optimized AlMo2Pt structure, as listed in Alexandria via LeMat-Bulk.

The calculation puts the density of states at the Fermi level at 1.76 states/eV/f.u. The spin magnetization is 0.00 μB/cell.

Lattice parameters (Å, degrees): 3.528 4.170 8.364 90.00 90.00 90.00
Space group Cmm2 (No. 35)
Asymmetric unit:
Al  0.000  0.000  0.000 (multiplicity 2)
Mo  0.000  0.000  0.482 (multiplicity 2)
Mo  0.000  0.500  0.749 (multiplicity 2)
Pt  0.000  0.500  0.226 (multiplicity 2)


No. 12
First-principles (PBE) data for a geometry-optimized Al2MoPt structure, as listed in Alexandria via LeMat-Bulk.

The calculation puts the density of states at the Fermi level at 3.64 states/eV/f.u. The spin magnetization is 0.00 μB/cell. For the energy above the most stable polymorph in this dataset, the calculation gives 0.0909 eV per atom.

Lattice parameters (Å, degrees): 6.169 6.169 6.169 90.00 90.00 90.00
Space group Fm-3m (No. 225)
Asymmetric unit:
Al  0.250  0.250  0.250 (multiplicity 8)
Mo  0.000  0.000  0.000 (multiplicity 4)
Pt  0.000  0.000  0.500 (multiplicity 4)


Sequential DFT total energy output: -0.6001, -0.4807, -0.5970, -0.5941, -0.5913, -0.4500, -0.4797, -0.4682, -0.5829, -0.4920, -0.5976, -0.4843 Ry/atom
Sequential energy of formation from the pure elements output: -0.303, -0.451, -0.261, -0.222, -0.184, -0.033, -0.437, -0.281, -0.069, -0.615, -0.270, -0.499 eV per atom